4
Lattice="0.000 4.314 4.314 4.314 0.000 4.314 4.314 4.314 0.000" Properties=species:S:1:pos:R:3 comment="GGA-PBE CsKSb2, optimized geometry" spacegroup="Fm-3m, No. 225" formation_energy_uncorrected_ev_per_atom=0.045 magmom_total_mub_per_cell=0.0 e_above_lowest_polymorph_kj_per_mol_fu=171 pbc="T T T"
Cs 4.314 4.314 4.314
Sb 2.157 2.157 2.157
Sb 6.471 6.471 6.471
K 0.000 0.000 0.000